# PBE PrTmIr, optimized geometry
data_PrTmIr
_chemical_formula_sum 'Pr1 Tm1 Ir1'
_cell_length_a 4.746
_cell_length_b 4.746
_cell_length_c 4.746
_cell_angle_alpha 60.00
_cell_angle_beta 60.00
_cell_angle_gamma 60.00
_symmetry_space_group_name_H-M 'P 1'
_symmetry_Int_Tables_number 1
loop_
_symmetry_equiv_pos_as_xyz
'x,y,z'
loop_
_atom_site_label
_atom_site_fract_x
_atom_site_fract_y
_atom_site_fract_z
_atom_site_occupancy
Ir1 0.250 0.250 0.250 1
Tm1 0.000 0.000 0.000 1
Pr1 0.750 0.750 0.750 1
# Crystal system: cubic
# VASP energy, eV per atom: -5.9006


# PBE TbErH2I4, optimized geometry
data_TbErH2I4
_chemical_formula_sum 'Tb1 Er1 H2 I4'
_cell_length_a 3.983
_cell_length_b 3.983
_cell_length_c 16.534
_cell_angle_alpha 90.00
_cell_angle_beta 90.00
_cell_angle_gamma 120.00
_symmetry_space_group_name_H-M 'P 1'
_symmetry_Int_Tables_number 1
loop_
_symmetry_equiv_pos_as_xyz
'x,y,z'
loop_
_atom_site_label
_atom_site_fract_x
_atom_site_fract_y
_atom_site_fract_z
_atom_site_occupancy
Tb1 0.000 0.000 0.500 1
H1 0.667 0.333 0.000 1
H2 0.333 0.667 0.500 1
I1 0.333 0.667 0.126 1
I2 0.667 0.333 0.629 1
I3 0.333 0.667 0.874 1
I4 0.667 0.333 0.371 1
Er1 0.000 0.000 0.000 1
# Crystal system: hexagonal
# VASP energy, eV per atom: -3.9443


# PBE HoLuInTe3, optimized geometry
data_HoLuInTe3
_chemical_formula_sum 'Ho2 Lu2 In2 Te6'
_cell_length_a 7.998
_cell_length_b 7.998
_cell_length_c 11.969
_cell_angle_alpha 90.00
_cell_angle_beta 90.00
_cell_angle_gamma 149.28
_symmetry_space_group_name_H-M 'P 1'
_symmetry_Int_Tables_number 1
loop_
_symmetry_equiv_pos_as_xyz
'x,y,z'
loop_
_atom_site_label
_atom_site_fract_x
_atom_site_fract_y
_atom_site_fract_z
_atom_site_occupancy
In1 0.265 0.735 0.250 1
In2 0.735 0.265 0.750 1
Ho1 0.596 0.404 0.250 1
Ho2 0.404 0.596 0.750 1
Te1 0.641 0.359 0.011 1
Te2 0.641 0.359 0.489 1
Te3 0.359 0.641 0.511 1
Te4 0.359 0.641 0.989 1
Te5 0.957 0.043 0.250 1
Te6 0.043 0.957 0.750 1
Lu1 0.000 0.000 0.500 1
Lu2 0.000 0.000 0.000 1
# Crystal system: orthorhombic
# VASP energy, eV per atom: -4.4465
# Excess energy over the best structure of this formula in the dataset, meV/atom: 43